1.
# KNiAsF6, optimized geometry, DFT PBE+U
data_KNiAsF6
_chemical_formula_sum 'K1 Ni1 As1 F6'
_symmetry_space_group_name_H-M 'P 1'
_symmetry_Int_Tables_number 1
_cell_length_a 5.4549
_cell_length_b 5.5384
_cell_length_c 5.5417
_cell_angle_alpha 119.76
_cell_angle_beta 90.18
_cell_angle_gamma 90.01
loop_
_symmetry_equiv_pos_as_xyz
'x,y,z'
loop_
_atom_site_label
_atom_site_type_symbol
_atom_site_fract_x
_atom_site_fract_y
_atom_site_fract_z
_atom_site_occupancy
K1 K 0.0000 0.0000 0.0000 1
Ni1 Ni 0.5180 0.3332 0.6673 1
As1 As 0.5048 0.6671 0.3335 1
F1 F 0.3261 0.6395 0.9713 1
F2 F 0.3272 0.0258 0.6679 1
F3 F 0.3274 0.3323 0.3582 1
F4 F 0.7231 0.4125 0.0188 1
F5 F 0.7229 0.6064 0.5896 1
F6 F 0.7234 0.9846 0.3957 1
# DOS(E_F)   0.00 states/eV/cell
# Calculated total energy   -4.45 eV per atom


2.
# K2NiAsF6, optimized geometry, DFT PBE+U
data_K2NiAsF6
_chemical_formula_sum 'K2 Ni1 As1 F6'
_symmetry_space_group_name_H-M 'P -1'
_symmetry_Int_Tables_number 2
_cell_length_a 5.7611
_cell_length_b 5.7651
_cell_length_c 6.2184
_cell_angle_alpha 62.49
_cell_angle_beta 62.56
_cell_angle_gamma 89.98
loop_
_symmetry_equiv_pos_as_xyz
'x,y,z'
'-x,-y,-z'
loop_
_atom_site_label
_atom_site_type_symbol
_atom_site_fract_x
_atom_site_fract_y
_atom_site_fract_z
_atom_site_occupancy
K1 K 0.2500 0.2495 0.9998 1
Ni1 Ni 0.5000 0.0000 0.5000 1
As1 As 0.0000 0.5000 0.5000 1
F1 F 0.1912 0.1928 0.5067 1
F2 F 0.2210 0.7149 0.0626 1
F3 F 0.3036 0.6943 0.5005 1
# DOS(E_F)   0.00 states/eV/cell
# Calculated total energy   -4.24 eV per atom